Record 1
DFT (PBE) results for a geometry-optimized Nb2V6W structure.

- Magnetic moment: 0.0 μB/f.u.
- SG: C2/c, No. 15
- Formation energy from the elements: 0.25 eV/atom

Unit cell a=4.586 b=11.890 c=11.890 alpha=150.78 beta=82.90 gamma=82.90
Fractional coordinates of all 18 atoms:
Nb1 0.402 0.535 0.835
Nb2 0.098 0.165 0.465
Nb3 0.598 0.465 0.165
Nb4 0.902 0.835 0.535
V1 0.385 0.672 0.569
V2 0.115 0.431 0.328
V3 0.615 0.328 0.431
V4 0.885 0.569 0.672
V5 0.596 0.146 0.634
V6 0.904 0.366 0.854
V7 0.404 0.854 0.366
V8 0.096 0.634 0.146
V9 0.114 0.835 0.929
V10 0.386 0.071 0.165
V11 0.886 0.165 0.071
V12 0.614 0.929 0.835
W1 0.250 0.149 0.851
W2 0.750 0.851 0.149

---

Record 2
DFT (PBE) results for a geometry-optimized Nb2VW6 structure.

- Magnetic moment: 0.0 μB/f.u.
- E above lowest polymorph: 277 meV per atom
- SG: P-1, No. 2
- Formation energy from the elements: 0.47 eV/atom

Unit cell a=4.552 b=5.512 c=9.299 alpha=133.95 beta=104.11 gamma=90.07
Fractional coordinates of all 9 atoms:
Nb1 0.898 0.324 0.796
Nb2 0.102 0.676 0.204
V1 0.000 0.000 0.000
W1 0.704 0.070 0.408
W2 0.296 0.930 0.592
W3 0.302 0.463 0.604
W4 0.498 0.246 0.997
W5 0.502 0.754 0.003
W6 0.698 0.537 0.396

---

Record 3
DFT (PBE) results for a geometry-optimized Nb6VW structure.

- Magnetic moment: 0.0 μB/f.u.
- E above lowest polymorph: 195 meV per atom
- SG: R-3m, No. 166
- Formation energy from the elements: 0.21 eV/atom

Unit cell a=5.795 b=5.795 c=5.795 alpha=110.64 beta=110.64 gamma=110.64
Fractional coordinates of all 8 atoms:
Nb1 0.250 0.747 0.250
Nb2 0.250 0.250 0.747
Nb3 0.750 0.253 0.750
Nb4 0.253 0.750 0.750
Nb5 0.750 0.750 0.253
Nb6 0.747 0.250 0.250
V1 0.500 0.500 0.500
W1 0.000 0.000 0.000

---

Record 4
DFT (PBE) results for a geometry-optimized Nb4VW4 structure.

- Magnetic moment: 0.0 μB/f.u.
- E above lowest polymorph: 0 meV per atom
- SG: I4/mmm, No. 139
- Formation energy from the elements: 0.19 eV/atom

Unit cell a=4.733 b=6.182 c=6.182 alpha=81.57 beta=67.49 gamma=67.49
Fractional coordinates of all 9 atoms:
Nb1 0.500 0.178 0.322
Nb2 0.500 0.822 0.678
Nb3 0.178 0.822 0.322
Nb4 0.822 0.178 0.678
V1 0.500 0.500 0.000
W1 0.161 0.177 0.000
W2 0.839 0.823 0.000
W3 0.839 0.500 0.323
W4 0.161 0.500 0.677

---

Record 5
DFT (PBE) results for a geometry-optimized Nb2VW structure.

- Magnetic moment: 0.0 μB/f.u.
- E above lowest polymorph: 12 meV per atom
- SG: I-4m2, No. 119
- Formation energy from the elements: 0.00 eV/atom

Unit cell a=4.532 b=4.539 c=4.531 alpha=60.04 beta=90.00 gamma=119.95
Fractional coordinates of all 4 atoms:
Nb1 0.000 0.000 0.000
Nb2 0.750 0.500 0.750
V1 0.250 0.500 0.250
W1 0.500 0.000 0.500

---

Record 6
DFT (PBE) results for a geometry-optimized NbV6W12 structure.

- Magnetic moment: 0.0 μB/f.u.
- SG: R-3m, No. 166
- Formation energy from the elements: 0.86 eV/atom

Unit cell a=7.081 b=7.081 c=7.081 alpha=102.95 beta=102.95 gamma=102.95
Fractional coordinates of all 19 atoms:
Nb1 0.000 0.000 0.000
V1 0.810 0.251 0.810
V2 0.810 0.810 0.251
V3 0.251 0.810 0.810
V4 0.190 0.190 0.749
V5 0.190 0.749 0.190
V6 0.749 0.190 0.190
W1 0.864 0.136 0.500
W2 0.458 0.203 0.458
W3 0.458 0.458 0.203
W4 0.797 0.542 0.542
W5 0.542 0.542 0.797
W6 0.542 0.797 0.542
W7 0.500 0.864 0.136
W8 0.136 0.500 0.864
W9 0.136 0.864 0.500
W10 0.500 0.136 0.864
W11 0.864 0.500 0.136
W12 0.203 0.458 0.458

---

Record 7
DFT (PBE) results for a geometry-optimized Nb2VW2 structure.

- Magnetic moment: 0.0 μB/f.u.
- E above lowest polymorph: 47 meV per atom
- SG: Pbam, No. 55
- Formation energy from the elements: 0.50 eV/atom

Unit cell a=2.980 b=6.070 c=9.802 alpha=90.00 beta=90.00 gamma=90.00
Fractional coordinates of all 10 atoms:
Nb1 0.000 0.670 0.204
Nb2 0.000 0.330 0.796
Nb3 0.000 0.170 0.296
Nb4 0.000 0.830 0.704
V1 0.000 0.000 0.000
V2 0.000 0.500 0.500
W1 0.500 0.833 0.426
W2 0.500 0.167 0.574
W3 0.500 0.333 0.074
W4 0.500 0.667 0.926

---

Record 8
DFT (PBE) results for a geometry-optimized Nb2VW structure.

- Magnetic moment: 0.0 μB/f.u.
- E above lowest polymorph: 3 meV per atom
- SG: P4/mmm, No. 123
- Formation energy from the elements: -0.01 eV/atom

Unit cell a=3.223 b=4.537 c=4.537 alpha=90.00 beta=90.00 gamma=90.00
Fractional coordinates of all 4 atoms:
Nb1 0.000 0.000 0.500
Nb2 0.000 0.500 0.000
W1 0.500 0.000 0.000
V1 0.500 0.500 0.500

---

Record 9
DFT (PBE) results for a geometry-optimized Nb2V4W structure.

- Magnetic moment: 1.1 μB/f.u.
- E above lowest polymorph: 836 meV per atom
- SG: I4/mmm, No. 139
- Formation energy from the elements: 1.21 eV/atom

Unit cell a=4.529 b=4.529 c=7.156 alpha=71.55 beta=71.55 gamma=90.00
Each line ends with the local moment (μB).
Fractional coordinates of all 7 atoms:
Nb1 0.374 0.374 0.251  -0.05
Nb2 0.626 0.626 0.749  -0.05
W1 0.000 0.000 0.000  -0.03
V1 0.191 0.191 0.619  0.33
V2 0.809 0.809 0.381  0.33
V3 0.000 0.500 0.000  0.22
V4 0.500 0.000 0.000  0.22

---

Record 10
DFT (PBE) results for a geometry-optimized Nb2V5W4 structure.

- Magnetic moment: 0.0 μB/f.u.
- SG: P-1, No. 2
- Formation energy from the elements: -0.02 eV/atom

Unit cell a=2.740 b=6.778 c=9.388 alpha=94.57 beta=78.64 gamma=97.70
Fractional coordinates of all 11 atoms:
Nb1 0.862 0.182 0.550
Nb2 0.138 0.818 0.450
V1 0.685 0.086 0.260
V2 0.315 0.914 0.740
V3 0.952 0.731 0.175
V4 0.500 0.000 0.000
V5 0.048 0.269 0.825
W1 0.411 0.451 0.356
W2 0.225 0.359 0.087
W3 0.589 0.549 0.644
W4 0.775 0.641 0.913

---

Record 11
DFT (PBE) results for a geometry-optimized Nb2V3W6 structure.

- Magnetic moment: 0.0 μB/f.u.
- SG: C2/m, No. 12
- Formation energy from the elements: -0.05 eV/atom

Unit cell a=4.437 b=2.765 c=14.457 alpha=97.36 beta=98.83 gamma=90.00
Fractional coordinates of all 11 atoms:
Nb1 0.454 0.271 0.907
Nb2 0.546 0.729 0.093
V1 0.000 0.000 0.000
V2 0.817 0.090 0.633
V3 0.183 0.910 0.367
W1 0.639 0.186 0.279
W2 0.094 0.457 0.188
W3 0.361 0.814 0.721
W4 0.906 0.543 0.812
W5 0.728 0.640 0.456
W6 0.272 0.360 0.544

---

Record 12
DFT (PBE) results for a geometry-optimized Nb2V3W structure.

- Magnetic moment: 0.0 μB/f.u.
- E above lowest polymorph: 116 meV per atom
- SG: P2/m, No. 10
- Formation energy from the elements: 0.03 eV/atom

Unit cell a=4.552 b=5.292 c=9.787 alpha=78.23 beta=62.29 gamma=63.99
Fractional coordinates of all 12 atoms:
Nb1 0.000 0.000 0.000
Nb2 0.500 0.000 0.500
Nb3 0.166 0.667 0.500
Nb4 0.834 0.333 0.500
V1 0.415 0.661 0.756
V2 0.257 0.000 0.243
V3 0.585 0.339 0.244
V4 0.926 0.661 0.244
V5 0.074 0.339 0.756
V6 0.743 0.000 0.757
W1 0.669 0.663 0.000
W2 0.331 0.337 0.000

---

Record 13
DFT (PBE) results for a geometry-optimized NbV2W4 structure.

- Magnetic moment: 0.0 μB/f.u.
- E above lowest polymorph: 0 meV per atom
- SG: Cmmm, No. 65
- Formation energy from the elements: 0.17 eV/atom

Unit cell a=3.246 b=3.152 c=11.071 alpha=90.00 beta=98.43 gamma=90.00
Fractional coordinates of all 7 atoms:
Nb1 0.500 0.000 0.000
V1 0.789 0.500 0.579
V2 0.211 0.500 0.421
W1 0.925 0.500 0.850
W2 0.648 0.000 0.296
W3 0.075 0.500 0.150
W4 0.352 0.000 0.704

---

Record 14
DFT (PBE) results for a geometry-optimized Nb4VW4 structure.

- Magnetic moment: 0.0 μB/f.u.
- E above lowest polymorph: 552 meV per atom
- SG: P4_2/nmc, No. 137
- Formation energy from the elements: 0.74 eV/atom

Unit cell a=7.934 b=7.934 c=5.330 alpha=90.00 beta=90.00 gamma=90.00
Fractional coordinates of all 18 atoms:
Nb1 0.500 0.814 0.624
Nb2 0.500 0.186 0.624
Nb3 0.814 0.500 0.376
Nb4 0.186 0.500 0.376
Nb5 0.314 0.000 0.124
Nb6 0.686 0.000 0.124
Nb7 0.000 0.314 0.876
Nb8 0.000 0.686 0.876
V1 0.000 0.000 0.000
V2 0.500 0.500 0.500
W1 0.298 0.500 0.887
W2 0.702 0.500 0.887
W3 0.500 0.702 0.113
W4 0.500 0.298 0.113
W5 0.000 0.798 0.387
W6 0.000 0.202 0.387
W7 0.202 0.000 0.613
W8 0.798 0.000 0.613

---

Record 15
DFT (PBE) results for a geometry-optimized NbV5W6 structure.

- Magnetic moment: 0.0 μB/f.u.
- SG: C2/m, No. 12
- Formation energy from the elements: -0.05 eV/atom

Unit cell a=4.398 b=6.241 c=7.630 alpha=114.14 beta=106.86 gamma=90.00
Fractional coordinates of all 12 atoms:
Nb1 0.000 0.000 0.000
W1 0.831 0.577 0.661
W2 0.831 0.084 0.661
W3 0.500 0.743 0.000
W4 0.500 0.257 0.000
W5 0.169 0.916 0.339
W6 0.169 0.423 0.339
V1 0.668 0.168 0.337
V2 0.333 0.333 0.666
V3 0.000 0.500 0.000
V4 0.667 0.667 0.334
V5 0.332 0.832 0.663

---

Record 16
DFT (PBE) results for a geometry-optimized Nb2V2W7 structure.

- Magnetic moment: 0.0 μB/f.u.
- SG: P-1, No. 2
- Formation energy from the elements: 0.30 eV/atom

Unit cell a=5.003 b=5.899 c=6.690 alpha=96.68 beta=70.84 gamma=83.45
Fractional coordinates of all 11 atoms:
Nb1 0.576 0.805 0.792
Nb2 0.424 0.195 0.208
V1 0.510 0.732 0.256
V2 0.490 0.268 0.744
W1 0.175 0.575 0.087
W2 0.843 0.925 0.399
W3 0.825 0.425 0.913
W4 0.157 0.075 0.601
W5 0.184 0.592 0.590
W6 0.000 0.000 0.000
W7 0.816 0.408 0.410

---

Record 17
DFT (PBE) results for a geometry-optimized NbV3W2 structure.

- Magnetic moment: 0.0 μB/f.u.
- E above lowest polymorph: 282 meV per atom
- SG: Cmcm, No. 63
- Formation energy from the elements: 0.25 eV/atom

Unit cell a=9.014 b=5.312 c=4.735 alpha=124.12 beta=90.00 gamma=90.00
Fractional coordinates of all 12 atoms:
Nb1 0.750 0.751 0.000
Nb2 0.250 0.249 0.000
V1 0.000 0.828 0.657
V2 0.500 0.828 0.657
V3 0.000 0.500 0.000
V4 0.500 0.500 0.000
V5 0.500 0.172 0.343
V6 0.000 0.172 0.343
W1 0.250 0.913 0.329
W2 0.750 0.416 0.329
W3 0.750 0.087 0.671
W4 0.250 0.584 0.671

---

Record 18
DFT (PBE) results for a geometry-optimized NbVW2 structure.

- Magnetic moment: 0.0 μB/f.u.
- E above lowest polymorph: 19 meV per atom
- SG: Fm-3m, No. 225
- Formation energy from the elements: -0.03 eV/atom

Unit cell a=4.484 b=4.484 c=4.484 alpha=60.00 beta=60.00 gamma=60.00
Fractional coordinates of all 4 atoms:
Nb1 0.500 0.500 0.500
W1 0.250 0.250 0.250
W2 0.750 0.750 0.750
V1 0.000 0.000 0.000

---

Record 19
DFT (PBE) results for a geometry-optimized Nb2V3W4 structure.

- Magnetic moment: 0.0 μB/f.u.
- SG: C2/c, No. 15
- Formation energy from the elements: 0.21 eV/atom

Unit cell a=7.795 b=6.178 c=6.178 alpha=98.28 beta=84.05 gamma=84.05
Fractional coordinates of all 18 atoms:
Nb1 0.417 0.264 0.513
Nb2 0.083 0.487 0.736
Nb3 0.583 0.736 0.487
Nb4 0.917 0.513 0.264
V1 0.748 0.045 0.288
V2 0.752 0.712 0.955
V3 0.252 0.955 0.712
V4 0.248 0.288 0.045
V5 0.250 0.631 0.369
V6 0.750 0.369 0.631
W1 0.417 0.930 0.174
W2 0.083 0.826 0.070
W3 0.583 0.070 0.826
W4 0.917 0.174 0.930
W5 0.081 0.145 0.400
W6 0.419 0.600 0.855
W7 0.919 0.855 0.600
W8 0.581 0.400 0.145

---

Record 20
DFT (PBE) results for a geometry-optimized NbV6W structure.

- Magnetic moment: 0.0 μB/f.u.
- E above lowest polymorph: 228 meV per atom
- SG: R-3m, No. 166
- Formation energy from the elements: 0.24 eV/atom

Unit cell a=5.445 b=5.445 c=5.445 alpha=110.53 beta=110.53 gamma=110.53
Fractional coordinates of all 8 atoms:
Nb1 0.000 0.000 0.000
V1 0.252 0.748 0.252
V2 0.252 0.252 0.748
V3 0.748 0.252 0.748
V4 0.252 0.748 0.748
V5 0.748 0.748 0.252
V6 0.748 0.252 0.252
W1 0.500 0.500 0.500